Below is crystalline Cs2KGaP2 at its relaxed geometry, with properties calculated at the PBE level.

Formation energy from the elements = -38.9 kJ per mole of atoms
V = 34.044 Å³ per atom
Theoretical density = 3.55 g/cm3

a = 9.427 Å, b = 9.427 Å, c = 9.427 Å
α = 131.99°, β = 65.46°, γ = 138.27°
Element x y z (fractional)
Cs 0.173 0.223 0.397
Cs 0.327 0.723 0.050
Cs 0.673 0.277 0.950
Cs 0.827 0.777 0.603
K 0.250 0.750 0.500
K 0.750 0.250 0.500
Ga 0.250 0.250 0.000
Ga 0.750 0.750 0.000
P 0.079 0.824 0.903
P 0.421 0.324 0.745
P 0.579 0.676 0.255
P 0.921 0.176 0.097

Below is crystalline CsK2GaPb at its relaxed geometry, with properties calculated at the PBE level.

Formation energy from the elements = 0.4 kJ per mole of atoms
V = 50.296 Å³ per atom
Theoretical density = 3.22 g/cm3

a = 6.714 Å, b = 6.714 Å, c = 5.579 Å
α = 90.00°, β = 90.00°, γ = 90.00°
Element x y z (fractional)
Cs 0.000 0.000 0.000
K 0.000 0.500 0.500
K 0.500 0.000 0.500
Ga 0.500 0.500 0.500
Pb 0.500 0.500 0.000

Below is crystalline CsKGa2Pd at its relaxed geometry, with properties calculated at the PBE level.

Formation energy from the elements = -9.6 kJ per mole of atoms
V = 30.852 Å³ per atom
Theoretical density = 4.50 g/cm3

a = 5.012 Å, b = 5.012 Å, c = 6.142 Å
α = 90.00°, β = 90.00°, γ = 90.00°
Element x y z (fractional)
Cs 0.000 0.000 0.000
K 0.500 0.500 0.000
Ga 0.000 0.500 0.500
Ga 0.500 0.000 0.500
Pd 0.500 0.500 0.500

Look up the V of the first one.
34.044 Å³ per atom